Material: Tc2NiRh
Method: DFT, GGA-PBE
State: relaxed

The offset from the most stable computed form comes out at 134.8 meV/atom. Its formation energy from the elements is 0.05 eV/atom. For the magnetic moment, the calculation gives 0.117 μB/atom. As for the uncorrected energy: -8.417 eV/atom.

It has space group R3m (No. 160, hexagonal axes), with a = 2.7132 Å, b = 2.7132 Å, c = 25.8931 Å, α = 90.00°, β = 90.00° and γ = 120.00°. The inequivalent atoms are Tc at (0.0000, 0.0000, 0.0000), Tc at (0.0000, 0.0000, 0.2486), Ni at (0.0000, 0.0000, 0.7478) and Rh at (0.0000, 0.0000, 0.4966).